No. 1
Ca5ScCd6 after structural relaxation. Source: Alexandria, functional PBE-GGA.

The value obtained for the magnetic moment is 0.0 Bohr magnetons per cell. Its energy relative to the elements is -0.335 eV per atom.

The space group is C2/m (No. 12) and the conventional cell measures 16.904, 7.549 and 5.348 Å, with angles of 90.00, 108.22 and 90.00 degrees. The asymmetric unit holds Ca at (0.000, 0.000, 0.000), Ca at (0.163, 0.000, 0.664), Ca at (0.174, 0.500, 0.675), Sc at (0.000, 0.500, 0.000), Cd at (0.000, 0.280, 0.500) and Cd at (0.159, 0.265, 0.160).

---

No. 2
Y4N2O after structural relaxation. Source: Alexandria, functional PBE-GGA.

The value obtained for the magnetic moment is 1.4 Bohr magnetons per cell. The total energy comes out at -8.500 eV per atom.

The space group is C2/m (No. 12) and the conventional cell measures 13.064, 3.442 and 5.984 Å, with angles of 90.00, 116.46 and 90.00 degrees. The asymmetric unit holds Y at (0.131, 0.000, 0.293), Y at (0.134, 0.500, 0.810), N at (0.245, 0.000, 0.741) and O at (0.000, 0.500, 0.000).

---

No. 3
TiBiSe2 after structural relaxation. Source: Alexandria, functional PBE-GGA.

The value obtained for the magnetic moment is 1.3 Bohr magnetons per cell. The total energy comes out at -5.313 eV per atom.

The space group is Pnma (No. 62) and the conventional cell measures 5.840, 3.387 and 20.898 Å, with angles of 90.00, 90.00 and 90.00 degrees. The asymmetric unit holds Ti at (0.101, 0.250, 0.206), Bi at (0.123, 0.750, 0.440), Se at (0.189, 0.750, 0.116) and Se at (0.246, 0.250, 0.791).

---

No. 4
NiAuBr2 after structural relaxation. Source: Alexandria, functional PBE-GGA.

The value obtained for the magnetic moment is 1.0 Bohr magnetons per cell. The energy above the most stable polymorph in this dataset is 0.214 eV/atom.

The space group is P4mm (No. 99) and the conventional cell measures 3.632, 3.632 and 7.409 Å, with angles of 90.00, 90.00 and 90.00 degrees. The asymmetric unit holds Ni at (0.000, 0.000, 0.000), Au at (0.500, 0.500, 0.103), Br at (0.000, 0.000, 0.318) and Br at (0.500, 0.500, 0.759).

---

No. 5
Tc2MoHRh after structural relaxation. Source: Alexandria, functional PBE-GGA.

The value obtained for the magnetic moment is 0.0 Bohr magnetons per cell. The energy above the most stable polymorph in this dataset is 0.020 eV/atom.

The space group is P4/mmm (No. 123) and the conventional cell measures 3.912, 3.912 and 3.985 Å, with angles of 90.00, 90.00 and 90.00 degrees. The asymmetric unit holds Tc at (0.000, 0.500, 0.000), Mo at (0.000, 0.000, 0.500), H at (0.000, 0.000, 0.000) and Rh at (0.500, 0.500, 0.500).

---

No. 6
TcSBrN2 after structural relaxation. Source: Alexandria, functional PBE-GGA.

The value obtained for the magnetic moment is 4.5 Bohr magnetons per cell. The energy above the most stable polymorph in this dataset is 1.599 eV/atom.

The space group is P4/mmm (No. 123) and the conventional cell measures 3.738, 3.738 and 6.701 Å, with angles of 90.00, 90.00 and 90.00 degrees. The asymmetric unit holds Tc at (0.000, 0.000, 0.000), S at (0.500, 0.500, 0.000), Br at (0.500, 0.500, 0.500) and N at (0.000, 0.500, 0.500).